CeZrPtRh, optimized geometry, DFT GGA-PBE; space-group type = F-43m (216); D(E_F) = 7.74 states/eV/f.u.; theoretical density = 10.90 Mg/m³; ΔH_f (0 K) = -70.5 kJ/mol of atoms; DFT total energy = -7.6997 eV/atom
1.0
4.8487 0.0000 0.0000
2.4243 4.1991 0.0000
2.4243 1.3997 3.9589
Pt Ce Zr Rh
1 1 1 1
direct
0.7500 0.7500 0.7500 Pt
0.0000 0.0000 0.0000 Ce
0.5000 0.5000 0.5000 Zr
0.2500 0.2500 0.2500 Rh